A | # SrZrW2

A geometry-optimized SrZrW2 structure (PBE-GGA, the Alexandria database).

Results
Magnetization (μB/f.u.): 0.0
DOS(E_F) (states/eV/cell): 3.5

```
data_SrZrW2
_chemical_formula_sum 'Sr1 Zr1 W2'
_space_group_name_H-M_alt 'P 1'
_space_group_IT_number 1
_cell_length_a 3.724
_cell_length_b 3.724
_cell_length_c 7.050
_cell_angle_alpha 90.00
_cell_angle_beta 90.00
_cell_angle_gamma 90.00
loop_
_space_group_symop_operation_xyz
'x,y,z'
loop_
_atom_site_label
_atom_site_type_symbol
_atom_site_fract_x
_atom_site_fract_y
_atom_site_fract_z
Sr1 Sr 0.000 0.000 0.000
Zr1 Zr 0.000 0.000 0.500
W1 W 0.500 0.500 0.331
W2 W 0.500 0.500 0.669
```

***

B | # SrZrW2

A geometry-optimized SrZrW2 structure (PBE-GGA, the Alexandria database).

Results
Magnetization (μB/f.u.): 0.0
DOS(E_F) (states/eV/cell): 5.0

```
data_SrZrW2
_chemical_formula_sum 'Sr1 Zr1 W2'
_space_group_name_H-M_alt 'P 1'
_space_group_IT_number 1
_cell_length_a 3.059
_cell_length_b 4.242
_cell_length_c 7.530
_cell_angle_alpha 90.00
_cell_angle_beta 97.05
_cell_angle_gamma 90.00
loop_
_space_group_symop_operation_xyz
'x,y,z'
loop_
_atom_site_label
_atom_site_type_symbol
_atom_site_fract_x
_atom_site_fract_y
_atom_site_fract_z
Sr1 Sr 0.000 0.000 0.000
Zr1 Zr 0.300 0.500 0.634
W1 W 0.483 0.500 0.297
W2 W 0.838 0.000 0.437
```

***

Of them, the most stable is B and the least stable is A.